A relaxed LuSc2Ge crystal. Source: the Alexandria database, functional GGA-PBE.

Values from the calculation:
- E_form: -0.354 eV/atom
- Total moment: 0.30 μB per atom
- ΔE to the lowest computed polymorph: 0.0000 eV per atom

```
data_LuSc2Ge
_chemical_formula_sum 'Lu1 Sc2 Ge1'
_cell_length_a 4.4147
_cell_length_b 4.4147
_cell_length_c 4.4635
_cell_angle_alpha 90.00
_cell_angle_beta 90.00
_cell_angle_gamma 90.00
_symmetry_space_group_name_H-M 'P 1'
_symmetry_Int_Tables_number 1
loop_
_symmetry_equiv_pos_as_xyz
'x,y,z'
loop_
_atom_site_label
_atom_site_fract_x
_atom_site_fract_y
_atom_site_fract_z
Lu1 0.0000 0.0000 0.0000
Sc1 0.0000 0.5000 0.5000
Sc2 0.5000 0.0000 0.5000
Ge1 0.5000 0.5000 0.0000
```

A relaxed LuScGe2 crystal. Source: the Alexandria database, functional GGA-PBE.

Values from the calculation:
- E_form: -0.590 eV/atom
- Total moment: 0.00 μB per atom

```
data_LuScGe2
_chemical_formula_sum 'Lu1 Sc1 Ge2'
_cell_length_a 4.5612
_cell_length_b 4.5612
_cell_length_c 3.9036
_cell_angle_alpha 90.00
_cell_angle_beta 90.00
_cell_angle_gamma 90.00
_symmetry_space_group_name_H-M 'P 1'
_symmetry_Int_Tables_number 1
loop_
_symmetry_equiv_pos_as_xyz
'x,y,z'
loop_
_atom_site_label
_atom_site_fract_x
_atom_site_fract_y
_atom_site_fract_z
Lu1 0.0000 0.0000 0.0000
Sc1 0.5000 0.5000 0.0000
Ge1 0.0000 0.5000 0.5000
Ge2 0.5000 0.0000 0.5000
```

A relaxed LuScGe2 crystal. Source: the Alexandria database, functional GGA-PBE.

Values from the calculation:
- E_form: -0.595 eV/atom
- Total moment: 0.00 μB per atom

```
data_LuScGe2
_chemical_formula_sum 'Lu1 Sc1 Ge2'
_cell_length_a 7.8078
_cell_length_b 7.8078
_cell_length_c 7.8078
_cell_angle_alpha 27.27
_cell_angle_beta 27.27
_cell_angle_gamma 27.27
_symmetry_space_group_name_H-M 'P 1'
_symmetry_Int_Tables_number 1
loop_
_symmetry_equiv_pos_as_xyz
'x,y,z'
loop_
_atom_site_label
_atom_site_fract_x
_atom_site_fract_y
_atom_site_fract_z
Lu1 0.0000 0.0000 0.0000
Sc1 0.5000 0.5000 0.5000
Ge1 0.2471 0.2471 0.2471
Ge2 0.7529 0.7529 0.7529
```

A relaxed LuGeSe2 crystal. Source: the Alexandria database, functional GGA-PBE.

Values from the calculation:
- Energy relative to the elements, uncorrected: -822.1 meV/atom
- Total moment: 0.00 μB per atom

```
data_LuGeSe2
_chemical_formula_sum 'Lu1 Ge1 Se2'
_cell_length_a 6.7106
_cell_length_b 6.7106
_cell_length_c 6.7106
_cell_angle_alpha 36.50
_cell_angle_beta 36.50
_cell_angle_gamma 36.50
_symmetry_space_group_name_H-M 'P 1'
_symmetry_Int_Tables_number 1
loop_
_symmetry_equiv_pos_as_xyz
'x,y,z'
loop_
_atom_site_label
_atom_site_fract_x
_atom_site_fract_y
_atom_site_fract_z
Lu1 0.0000 0.0000 0.0000
Ge1 0.5000 0.5000 0.5000
Se1 0.2503 0.2503 0.2503
Se2 0.7497 0.7497 0.7497
```

A relaxed Lu2GeSe crystal. Source: the Alexandria database, functional GGA-PBE.

Values from the calculation:
- Energy relative to the elements, uncorrected: -1307.2 meV/atom
- Total moment: 0.00 μB per atom

```
data_Lu2GeSe
_chemical_formula_sum 'Lu2 Ge1 Se1'
_cell_length_a 7.0513
_cell_length_b 7.0513
_cell_length_c 7.0513
_cell_angle_alpha 33.36
_cell_angle_beta 33.36
_cell_angle_gamma 33.36
_symmetry_space_group_name_H-M 'P 1'
_symmetry_Int_Tables_number 1
loop_
_symmetry_equiv_pos_as_xyz
'x,y,z'
loop_
_atom_site_label
_atom_site_fract_x
_atom_site_fract_y
_atom_site_fract_z
Lu1 0.2446 0.2446 0.2446
Lu2 0.7554 0.7554 0.7554
Ge1 0.5000 0.5000 0.5000
Se1 0.0000 0.0000 0.0000
```

A relaxed Lu2SiGe crystal. Source: the Alexandria database, functional GGA-PBE.

Values from the calculation:
- Energy relative to the elements, uncorrected: -4.9 meV/atom
- Total moment: 0.00 μB per atom

```
data_Lu2SiGe
_chemical_formula_sum 'Lu2 Si1 Ge1'
_cell_length_a 9.0488
_cell_length_b 9.0488
_cell_length_c 9.0488
_cell_angle_alpha 25.55
_cell_angle_beta 25.55
_cell_angle_gamma 25.55
_symmetry_space_group_name_H-M 'P 1'
_symmetry_Int_Tables_number 1
loop_
_symmetry_equiv_pos_as_xyz
'x,y,z'
loop_
_atom_site_label
_atom_site_fract_x
_atom_site_fract_y
_atom_site_fract_z
Lu1 0.1091 0.1091 0.1091
Lu2 0.8909 0.8909 0.8909
Si1 0.5000 0.5000 0.5000
Ge1 0.0000 0.0000 0.0000
```

A relaxed SmLuGe crystal. Source: the Alexandria database, functional GGA-PBE.

Values from the calculation:
- E_form: -0.420 eV/atom
- Total moment: 0.00 μB per atom
- ΔE to the lowest computed polymorph: 0.0836 eV per atom

```
data_SmLuGe
_chemical_formula_sum 'Sm1 Lu1 Ge1'
_cell_length_a 7.0009
_cell_length_b 7.0009
_cell_length_c 7.0009
_cell_angle_alpha 151.42
_cell_angle_beta 151.42
_cell_angle_gamma 40.86
_symmetry_space_group_name_H-M 'P 1'
_symmetry_Int_Tables_number 1
loop_
_symmetry_equiv_pos_as_xyz
'x,y,z'
loop_
_atom_site_label
_atom_site_fract_x
_atom_site_fract_y
_atom_site_fract_z
Sm1 0.0000 0.0000 0.0000
Lu1 0.7176 0.7176 0.0000
Ge1 0.3523 0.3523 0.0000
```

A relaxed SmLuGe2 crystal. Source: the Alexandria database, functional GGA-PBE.

Values from the calculation:
- E_form: -0.678 eV/atom
- Total moment: 0.00 μB per atom
- ΔE to the lowest computed polymorph: 0.0000 eV per atom

```
data_SmLuGe2
_chemical_formula_sum 'Sm1 Lu1 Ge2'
_cell_length_a 5.9196
_cell_length_b 5.9196
_cell_length_c 5.9196
_cell_angle_alpha 45.71
_cell_angle_beta 45.71
_cell_angle_gamma 45.71
_symmetry_space_group_name_H-M 'P 1'
_symmetry_Int_Tables_number 1
loop_
_symmetry_equiv_pos_as_xyz
'x,y,z'
loop_
_atom_site_label
_atom_site_fract_x
_atom_site_fract_y
_atom_site_fract_z
Sm1 0.0000 0.0000 0.0000
Lu1 0.5000 0.5000 0.5000
Ge1 0.2418 0.2418 0.2418
Ge2 0.7582 0.7582 0.7582
```

A relaxed SmLuGe crystal. Source: the Alexandria database, functional GGA-PBE.

Values from the calculation:
- E_form: -0.421 eV/atom
- Total moment: 0.00 μB per atom
- ΔE to the lowest computed polymorph: 0.0831 eV per atom

```
data_SmLuGe
_chemical_formula_sum 'Sm1 Lu1 Ge1'
_cell_length_a 4.7160
_cell_length_b 4.7160
_cell_length_c 4.1853
_cell_angle_alpha 90.00
_cell_angle_beta 90.00
_cell_angle_gamma 120.00
_symmetry_space_group_name_H-M 'P 1'
_symmetry_Int_Tables_number 1
loop_
_symmetry_equiv_pos_as_xyz
'x,y,z'
loop_
_atom_site_label
_atom_site_fract_x
_atom_site_fract_y
_atom_site_fract_z
Sm1 0.0000 0.0000 0.0000
Lu1 0.3333 0.6667 0.4850
Ge1 0.6667 0.3333 0.5844
```

A relaxed SmLuGe2 crystal. Source: the Alexandria database, functional GGA-PBE.

Values from the calculation:
- E_form: -0.608 eV/atom
- Total moment: 0.00 μB per atom
- ΔE to the lowest computed polymorph: 0.0705 eV per atom

```
data_SmLuGe2
_chemical_formula_sum 'Sm1 Lu1 Ge2'
_cell_length_a 4.7515
_cell_length_b 4.7515
_cell_length_c 4.0230
_cell_angle_alpha 90.00
_cell_angle_beta 90.00
_cell_angle_gamma 90.00
_symmetry_space_group_name_H-M 'P 1'
_symmetry_Int_Tables_number 1
loop_
_symmetry_equiv_pos_as_xyz
'x,y,z'
loop_
_atom_site_label
_atom_site_fract_x
_atom_site_fract_y
_atom_site_fract_z
Sm1 0.0000 0.0000 0.0000
Lu1 0.5000 0.5000 0.0000
Ge1 0.0000 0.5000 0.5000
Ge2 0.5000 0.0000 0.5000
```

A relaxed SmLuZnGe crystal. Source: the Alexandria database, functional GGA-PBE.

Values from the calculation:
- E_form: -0.501 eV/atom
- Total moment: 0.00 μB per atom

```
data_SmLuZnGe
_chemical_formula_sum 'Sm1 Lu1 Zn1 Ge1'
_cell_length_a 5.0234
_cell_length_b 5.0234
_cell_length_c 5.0234
_cell_angle_alpha 60.00
_cell_angle_beta 60.00
_cell_angle_gamma 60.00
_symmetry_space_group_name_H-M 'P 1'
_symmetry_Int_Tables_number 1
loop_
_symmetry_equiv_pos_as_xyz
'x,y,z'
loop_
_atom_site_label
_atom_site_fract_x
_atom_site_fract_y
_atom_site_fract_z
Sm1 0.0000 0.0000 0.0000
Lu1 0.5000 0.5000 0.5000
Zn1 0.2500 0.2500 0.2500
Ge1 0.7500 0.7500 0.7500
```

A relaxed LuSn2Ge crystal. Source: the Alexandria database, functional GGA-PBE.

Values from the calculation:
- E_form: -0.309 eV/atom
- Total moment: 0.00 μB per atom
- ΔE to the lowest computed polymorph: 0.0000 eV per atom

```
data_LuSn2Ge
_chemical_formula_sum 'Lu1 Sn2 Ge1'
_cell_length_a 4.4879
_cell_length_b 4.4879
_cell_length_c 4.7065
_cell_angle_alpha 90.00
_cell_angle_beta 90.00
_cell_angle_gamma 90.00
_symmetry_space_group_name_H-M 'P 1'
_symmetry_Int_Tables_number 1
loop_
_symmetry_equiv_pos_as_xyz
'x,y,z'
loop_
_atom_site_label
_atom_site_fract_x
_atom_site_fract_y
_atom_site_fract_z
Lu1 0.0000 0.0000 0.0000
Sn1 0.0000 0.5000 0.5000
Sn2 0.5000 0.0000 0.5000
Ge1 0.5000 0.5000 0.0000
```

Q: Look up the total moment of the fourth one.
A: 0.00 μB per atom

Q: The highest total moment belongs to which entry?
A: LuSc2Ge

Q: What is the total moment in the second record?
A: 0.00 μB per atom

Q: What is the total moment in the eleventh record?
A: 0.00 μB per atom